Entry 1:
A geometry-optimized Tm2PuNi structure. Source: Alexandria, functional GGA-PBE.

Summary:
The calculation puts the formation energy from the elements at 153 meV per atom. The energy above the most stable polymorph in this dataset comes out at 0.302 eV/atom. The calculated volume is 26.4 A^3/atom.

Lattice parameters (Å, degrees): 10.4499 10.4499 10.4499 18.99 18.99 18.99
Closest atoms and distances in Å follow each position.
Fractional coordinates of all 4 atoms:
Tm (0.1086, 0.1086, 0.1086)  3 Ni 2.68
Tm (0.8914, 0.8914, 0.8914)  3 Ni 2.68
Pu (0.0000, 0.0000, 0.0000)  2 Tm 3.34, 6 Pu 3.45
Ni (0.5000, 0.5000, 0.5000)  6 Tm 2.68

Entry 2:
A geometry-optimized LaGa3CoPt structure. Source: Alexandria, functional GGA-PBE.

Summary:
The calculation puts the formation energy from the elements at -468 meV per atom. The calculated volume is 20.4 A^3/atom.

Lattice parameters (Å, degrees): 6.5882 6.5882 6.1105 90.00 90.00 112.62
Closest atoms and distances in Å follow each position.
Fractional coordinates of all 12 atoms:
La (0.2503, 0.7497, 0.7500)  1 Co 2.93, 2 Ga 3.07
La (0.7497, 0.2503, 0.2500)  1 Co 2.93, 2 Ga 3.07
Ga (0.2192, 0.7808, 0.2500)  1 Co 2.21, 1 Pt 2.38
Ga (0.2441, 0.2441, 0.0000)  2 Co 2.36, 2 Pt 2.51
Ga (0.2441, 0.2441, 0.5000)  2 Co 2.36, 2 Pt 2.51
Ga (0.7559, 0.7559, 0.0000)  2 Co 2.36, 2 Pt 2.51
Ga (0.7559, 0.7559, 0.5000)  2 Co 2.36, 2 Pt 2.51
Ga (0.7808, 0.2192, 0.7500)  1 Co 2.21, 1 Pt 2.38
Co (0.0174, 0.9826, 0.2500)  5 Ga 2.21-2.36
Co (0.9826, 0.0174, 0.7500)  5 Ga 2.21-2.36
Pt (0.4361, 0.5639, 0.2500)  5 Ga 2.38-2.51
Pt (0.5639, 0.4361, 0.7500)  5 Ga 2.38-2.51

Entry 3:
A geometry-optimized LiSmH2 structure. Source: Alexandria, functional GGA-PBE.

Summary:
The energy above the most stable polymorph in this dataset comes out at 0.000 eV/atom. The calculated volume is 13.1 A^3/atom.

Lattice parameters (Å, degrees): 5.7657 5.7657 5.7657 33.58 33.58 33.58
Closest atoms and distances in Å follow each position.
Fractional coordinates of all 4 atoms:
Li (0.0000, 0.0000, 0.0000)  6 H 2.26
Sm (0.5000, 0.5000, 0.5000)  6 H 2.46
H (0.2605, 0.2605, 0.2605)  3 Li 2.26, 3 Sm 2.46
H (0.7395, 0.7395, 0.7395)  3 Li 2.26, 3 Sm 2.46

Entry 4:
A geometry-optimized IrPtI6Br structure. Source: Alexandria, functional GGA-PBE.

Summary:
The formation energy without anion corrections is -110 meV per atom. The calculated volume is 38.0 A^3/atom.

Lattice parameters (Å, degrees): 6.9343 6.9343 8.2114 90.00 90.00 120.00
Closest atoms and distances in Å follow each position.
Fractional coordinates of all 9 atoms:
Ir (0.0000, 0.0000, 0.0000)  6 I 2.69
Pt (0.3333, 0.6667, 0.0000)  6 I 2.72
I (0.0177, 0.3301, 0.1841)  1 Ir 2.69, 1 Pt 2.72
I (0.0177, 0.6876, 0.8159)  1 Ir 2.69, 1 Pt 2.72
I (0.3124, 0.3301, 0.8159)  1 Ir 2.69, 1 Pt 2.72
I (0.3124, 0.9823, 0.1841)  1 Ir 2.69, 1 Pt 2.72
I (0.6699, 0.6876, 0.1841)  1 Ir 2.69, 1 Pt 2.72
I (0.6699, 0.9823, 0.8159)  1 Ir 2.69, 1 Pt 2.72
Br (0.6667, 0.3333, 0.5000)  6 I 3.57

Entry 5:
A geometry-optimized PmPt4Rh structure. Source: Alexandria, functional GGA-PBE.

Summary:
The calculation puts the formation energy from the elements at -510 meV per atom. The calculated volume is 18.0 A^3/atom.

Lattice parameters (Å, degrees): 5.3487 5.3487 5.3487 60.00 60.00 60.00
Closest atoms and distances in Å follow each position.
Fractional coordinates of all 6 atoms:
Pm (0.0000, 0.0000, 0.0000)  12 Pt 3.14, 4 Rh 3.28
Pt (0.3757, 0.3757, 0.3757)  6 Pt 2.66-2.69
Pt (0.3757, 0.3757, 0.8728)  6 Pt 2.66-2.69
Pt (0.3757, 0.8728, 0.3757)  6 Pt 2.66-2.69
Pt (0.8728, 0.3757, 0.3757)  6 Pt 2.66-2.69
Rh (0.7500, 0.7500, 0.7500)  12 Pt 3.13, 4 Pm 3.28

Entry 6:
A geometry-optimized TiNbTe structure. Source: Alexandria, functional GGA-PBE.

Summary:
The formation energy without anion corrections is 102 meV per atom. The energy above the most stable polymorph in this dataset comes out at 0.467 eV/atom. The calculated volume is 20.0 A^3/atom.

Lattice parameters (Å, degrees): 4.7872 4.7872 3.0172 90.00 90.00 120.00
Closest atoms and distances in Å follow each position.
Fractional coordinates of all 3 atoms:
Ti (0.0000, 0.0000, 0.0000)  3 Te 2.93, 3 Nb 3.01, 2 Ti 3.02
Nb (0.3333, 0.6667, 0.6053)  3 Te 2.77, 3 Ti 3.01, 2 Nb 3.02
Te (0.6667, 0.3333, 0.6806)  3 Nb 2.77, 3 Ti 2.93, 2 Te 3.02